Version i
Compound: RbLiTlCd2
Source: the Alexandria database
Functional: PBE
Structure: optimized geometry

Properties
DOS at the Fermi energy   0.58 states/eV/atom
ρ   5543 kg/m3
Size of the total moment   0.00 μB/cell

a b c (Å): 5.3956 5.3956 5.3672
angles (deg): 90.00 90.00 90.00
With the nearest neighbours (Å) after each atom.
Space group P4/mmm (No. 123)
Unique sites:
Rb: 0.0000 0.0000 0.0000  8 Cd 3.81, 4 Tl 3.82
Li: 0.5000 0.5000 0.5000  2 Tl 2.68, 4 Cd 2.70
Tl: 0.5000 0.5000 0.0000  2 Li 2.68
Cd: 0.0000 0.5000 0.5000  2 Li 2.70

Version ii
Compound: RbLiTlCd2
Source: the Alexandria database
Functional: PBE
Structure: optimized geometry

Properties
DOS at the Fermi energy   0.30 states/eV/atom
ρ   4656 kg/m3
Size of the total moment   0.00 μB/cell

a b c (Å): 5.7865 5.7865 5.5561
angles (deg): 90.00 90.00 90.00
With the nearest neighbours (Å) after each atom.
Space group P4/mmm (No. 123)
Unique sites:
Rb: 0.0000 0.0000 0.0000  8 Cd 4.01, 4 Li 4.09
Li: 0.5000 0.5000 0.0000  2 Tl 2.78
Tl: 0.5000 0.5000 0.5000  2 Li 2.78, 4 Cd 2.89
Cd: 0.0000 0.5000 0.5000  2 Tl 2.89

Relative energies with respect to the most stable structure, expressed in kJ/mol of atoms: version i 0.0; version ii 2.8.

Version i
Compound: LiCd2Re
Source: the Alexandria database
Functional: PBE
Structure: optimized geometry

Properties
DOS at the Fermi energy   0.48 states/eV/atom
ρ   10362 kg/m3
Size of the total moment   0.00 μB/cell

a b c (Å): 2.8786 4.8908 9.5153
angles (deg): 90.00 90.00 90.00
With the nearest neighbours (Å) after each atom.
Space group Immm (No. 71)
Unique sites:
Li: 0.0000 0.0000 0.0000  4 Cd 2.63, 4 Re 2.84, 2 Li 2.88
Cd: 0.0000 0.5000 0.2687  2 Li 2.63, 6 Cd 2.86-2.88, 2 Re 2.93
Re: 0.0000 0.0000 0.5000  4 Li 2.84, 2 Re 2.88, 4 Cd 2.93

Version ii
Compound: LiCd2Re
Source: the Alexandria database
Functional: PBE
Structure: optimized geometry

Properties
DOS at the Fermi energy   0.67 states/eV/atom
ρ   9847 kg/m3
Size of the total moment   6.97 μB/cell

a b c (Å): 6.5571 6.5571 6.5571
angles (deg): 90.00 90.00 90.00
With the nearest neighbours (Å) after each atom.
Space group F-43m (No. 216)
Unique sites:
Li: 0.0000 0.0000 0.0000  4 Cd 2.84, 4 Re 2.84
Cd: 0.0000 0.0000 0.5000  4 Re 2.84, 4 Cd 2.84
Cd: 0.2500 0.2500 0.2500  4 Cd 2.84, 4 Li 2.84
Re: 0.2500 0.2500 0.7500  4 Cd 2.84, 4 Li 2.84

Version iii
Compound: LiCd2Re
Source: the Alexandria database
Functional: PBE
Structure: optimized geometry

Properties
DOS at the Fermi energy   0.60 states/eV/atom
ρ   9954 kg/m3
Size of the total moment   0.00 μB/cell

a b c (Å): 2.8759 2.8759 29.2041
angles (deg): 90.00 90.00 120.00
With the nearest neighbours (Å) after each atom.
Space group R-3m (No. 166, hexagonal axes)
Unique sites:
Li: 0.0000 0.0000 0.0000  6 Li 2.88, 6 Cd 2.92
Cd: 0.0000 0.0000 0.2511  6 Cd 2.88, 3 Li 2.92, 3 Re 2.97
Re: 0.0000 0.0000 0.5000  6 Re 2.88, 6 Cd 2.97

Relative energies with respect to the most stable structure, expressed in kJ/mol of atoms: version i 27.4; version ii 41.1; version iii 0.0.